## Hf2CuAu (PBE)

Data for an optimized crystal structure of Hf2CuAu.

Cell: 3.393 3.393 6.361 Å, 90.00 90.00 90.00°
Fractional coordinates of all 4 atoms:
Au  0.000  0.000  0.391
Hf  0.000  0.000  0.845
Hf  0.500  0.500  0.145
Cu  0.500  0.500  0.620

Values from the calculation:
The calculation puts the formation energy at -0.359 eV/atom. The value obtained for the magnetization is 0.00 Bohr magnetons per cell. Its total energy is -7.083 eV per atom.